Material: Tb4Sm7In
Method: DFT, GGA-PBE
State: relaxed

Values from the calculation:
- Energy relative to the lowest polymorph listed for this composition: 0.0000 eV/atom
- DOS at the Fermi energy: 1.4804 states/eV/atom

The structure in CIF format:
```
data_Tb4Sm7In
_cell_length_a 16.1295
_cell_length_b 6.0039
_cell_length_c 9.2514
_cell_angle_alpha 90.00
_cell_angle_beta 116.08
_cell_angle_gamma 90.00
_space_group_name_H-M_alt 'C 1 2/m 1'
_space_group_IT_number 12
loop_
_space_group_symop_operation_xyz
'x,y,z'
'-x,-y,-z'
'-x,y,-z'
'x,-y,z'
'x+1/2,y+1/2,z'
'-x+1/2,-y+1/2,-z'
'-x+1/2,y+1/2,-z'
'x+1/2,-y+1/2,z'
loop_
_atom_site_label
_atom_site_type_symbol
_atom_site_fract_x
_atom_site_fract_y
_atom_site_fract_z
_atom_site_occupancy
Tb1 Tb 0.0927 0.0000 0.4698 1
Tb2 Tb 0.2191 0.0000 0.2506 1
Sm1 Sm 0.0000 0.0000 0.0000 1
Sm2 Sm 0.0711 0.5000 0.7240 1
Sm3 Sm 0.1574 0.5000 0.3700 1
Sm4 Sm 0.2212 0.0000 0.8863 1
In1 In 0.0000 0.5000 0.0000 1
```

---

Material: Tb3Sm6In
Method: DFT, GGA-PBE
State: relaxed

Values from the calculation:
- Total energy: -89.1 eV for the cell shown
- DOS at the Fermi energy: 1.3305 states/eV/atom

The structure in CIF format:
```
data_Tb3Sm6In
_cell_length_a 10.6433
_cell_length_b 11.9313
_cell_length_c 5.2288
_cell_angle_alpha 90.00
_cell_angle_beta 90.00
_cell_angle_gamma 90.00
_space_group_name_H-M_alt 'P n n m'
_space_group_IT_number 58
loop_
_space_group_symop_operation_xyz
'x,y,z'
'-x,-y,-z'
'-x,-y,z'
'x,y,-z'
'x+1/2,-y+1/2,-z+1/2'
'-x+1/2,y+1/2,z+1/2'
'-x+1/2,y+1/2,-z+1/2'
'x+1/2,-y+1/2,z+1/2'
loop_
_atom_site_label
_atom_site_type_symbol
_atom_site_fract_x
_atom_site_fract_y
_atom_site_fract_z
_atom_site_occupancy
Tb1 Tb 0.0000 0.0000 0.0000 1
Tb2 Tb 0.1151 0.2067 0.5000 1
Sm1 Sm 0.0769 0.7486 0.0000 1
Sm2 Sm 0.1753 0.5752 0.5000 1
Sm3 Sm 0.2205 0.8824 0.5000 1
In1 In 0.0000 0.5000 0.0000 1
```

---

Material: Tb5Sm3In4
Method: DFT, GGA-PBE
State: relaxed

Values from the calculation:
- Total energy: -98.0 eV for the cell shown
- DOS at the Fermi energy: 0.8215 states/eV/atom

The structure in CIF format:
```
data_Tb5Sm3In4
_cell_length_a 8.6738
_cell_length_b 5.8064
_cell_length_c 14.6255
_cell_angle_alpha 90.00
_cell_angle_beta 98.99
_cell_angle_gamma 90.00
_space_group_name_H-M_alt 'C 1 2/m 1'
_space_group_IT_number 12
loop_
_space_group_symop_operation_xyz
'x,y,z'
'-x,-y,-z'
'-x,y,-z'
'x,-y,z'
'x+1/2,y+1/2,z'
'-x+1/2,-y+1/2,-z'
'-x+1/2,y+1/2,-z'
'x+1/2,-y+1/2,z'
loop_
_atom_site_label
_atom_site_type_symbol
_atom_site_fract_x
_atom_site_fract_y
_atom_site_fract_z
_atom_site_occupancy
Tb1 Tb 0.0000 0.0000 0.0000 1
Tb2 Tb 0.0745 0.5000 0.3037 1
Tb3 Tb 0.1954 0.5000 0.5521 1
Sm1 Sm 0.0000 0.5000 0.0000 1
Sm2 Sm 0.2051 0.0000 0.1956 1
In1 In 0.0597 0.0000 0.6186 1
In2 In 0.1690 0.0000 0.8336 1
```

---

Material: TbSm6In6
Method: DFT, GGA-PBE
State: relaxed

Values from the calculation:
- Total energy: -53.6 eV for the cell shown
- DOS at the Fermi energy: 1.2313 states/eV/atom

The structure in CIF format:
```
data_TbSm6In6
_cell_length_a 6.3470
_cell_length_b 6.3470
_cell_length_c 10.9667
_cell_angle_alpha 90.00
_cell_angle_beta 90.00
_cell_angle_gamma 120.00
_space_group_name_H-M_alt 'P 6/m m m'
_space_group_IT_number 191
_space_group_name_Hall '-P 6 2'
loop_
_atom_site_label
_atom_site_type_symbol
_atom_site_fract_x
_atom_site_fract_y
_atom_site_fract_z
_atom_site_occupancy
Tb1 Tb 0.0000 0.0000 0.0000 1
Sm1 Sm 0.0000 0.0000 0.3336 1
Sm2 Sm 0.3333 0.6667 0.0000 1
Sm3 Sm 0.3333 0.6667 0.5000 1
In1 In 0.0000 0.5000 0.2461 1
```

---

Material: TbSmIn4
Method: DFT, GGA-PBE
State: relaxed

Values from the calculation:
- Energy relative to the lowest polymorph listed for this composition: 0.0508 eV/atom
- DOS at the Fermi energy: 0.6485 states/eV/atom

The structure in CIF format:
```
data_TbSmIn4
_cell_length_a 10.4685
_cell_length_b 18.1517
_cell_length_c 3.4780
_cell_angle_alpha 90.00
_cell_angle_beta 90.00
_cell_angle_gamma 90.00
_space_group_name_H-M_alt 'P b a m'
_space_group_IT_number 55
loop_
_space_group_symop_operation_xyz
'x,y,z'
'-x,-y,-z'
'-x,-y,z'
'x,y,-z'
'x+1/2,-y+1/2,-z'
'-x+1/2,y+1/2,z'
'-x+1/2,y+1/2,-z'
'x+1/2,-y+1/2,z'
loop_
_atom_site_label
_atom_site_type_symbol
_atom_site_fract_x
_atom_site_fract_y
_atom_site_fract_z
_atom_site_occupancy
Tb1 Tb 0.1176 0.0732 0.0000 1
Sm1 Sm 0.0757 0.3668 0.0000 1
In1 In 0.0219 0.2135 0.5000 1
In2 In 0.1306 0.5265 0.5000 1
In3 In 0.1572 0.9152 0.5000 1
In4 In 0.1985 0.6896 0.5000 1
```

---

Material: Tb9Sm4In11
Method: DFT, GGA-PBE
State: relaxed

Values from the calculation:
- Total energy: -200.9 eV for the cell shown
- DOS at the Fermi energy: 0.8401 states/eV/atom

The structure in CIF format:
```
data_Tb9Sm4In11
_cell_length_a 16.0576
_cell_length_b 23.4630
_cell_length_c 3.5164
_cell_angle_alpha 90.00
_cell_angle_beta 90.00
_cell_angle_gamma 90.00
_space_group_name_H-M_alt 'C m m m'
_space_group_IT_number 65
_space_group_name_Hall '-C 2 2'
loop_
_atom_site_label
_atom_site_type_symbol
_atom_site_fract_x
_atom_site_fract_y
_atom_site_fract_z
_atom_site_occupancy
Tb1 Tb 0.0000 0.0000 0.0000 1
Tb2 Tb 0.1068 0.4038 0.0000 1
Tb3 Tb 0.1116 0.2232 0.0000 1
Sm1 Sm 0.1741 0.0817 0.0000 1
In1 In 0.0000 0.1211 0.5000 1
In2 In 0.0000 0.3115 0.5000 1
In3 In 0.0000 0.5000 0.5000 1
In4 In 0.2015 0.5000 0.5000 1
In5 In 0.2251 0.3157 0.5000 1
```

---

Material: Tb3Sm5In
Method: DFT, GGA-PBE
State: relaxed

Values from the calculation:
- Total energy: -147.4 eV for the cell shown
- DOS at the Fermi energy: 1.4044 states/eV/atom

The structure in CIF format:
```
data_Tb3Sm5In
_cell_length_a 13.6304
_cell_length_b 7.9528
_cell_length_c 11.5034
_cell_angle_alpha 90.00
_cell_angle_beta 95.82
_cell_angle_gamma 90.00
_space_group_name_H-M_alt 'C 1 2/m 1'
_space_group_IT_number 12
loop_
_space_group_symop_operation_xyz
'x,y,z'
'-x,-y,-z'
'-x,y,-z'
'x,-y,z'
'x+1/2,y+1/2,z'
'-x+1/2,-y+1/2,-z'
'-x+1/2,y+1/2,-z'
'x+1/2,-y+1/2,z'
loop_
_atom_site_label
_atom_site_type_symbol
_atom_site_fract_x
_atom_site_fract_y
_atom_site_fract_z
_atom_site_occupancy
Tb1 Tb 0.0000 0.0000 0.0000 1
Tb2 Tb 0.0000 0.0000 0.5000 1
Tb3 Tb 0.1666 0.5000 0.2166 1
Tb4 Tb 0.2408 0.5000 0.5258 1
Sm1 Sm 0.0000 0.3309 0.0000 1
Sm2 Sm 0.0079 0.5000 0.3715 1
Sm3 Sm 0.1258 0.2140 0.7554 1
Sm4 Sm 0.2386 0.0000 0.0360 1
In1 In 0.0963 0.0000 0.2573 1
```

---

Material: Tb9Sm2In
Method: DFT, GGA-PBE
State: relaxed

Values from the calculation:
- Total energy: -54.6 eV for the cell shown
- DOS at the Fermi energy: 1.2791 states/eV/atom

The structure in CIF format:
```
data_Tb9Sm2In
_cell_length_a 4.9684
_cell_length_b 4.9684
_cell_length_c 15.1841
_cell_angle_alpha 90.00
_cell_angle_beta 90.00
_cell_angle_gamma 90.00
_space_group_name_H-M_alt 'P 4/m m m'
_space_group_IT_number 123
_space_group_name_Hall '-P 4 2'
loop_
_atom_site_label
_atom_site_type_symbol
_atom_site_fract_x
_atom_site_fract_y
_atom_site_fract_z
_atom_site_occupancy
Tb1 Tb 0.0000 0.0000 0.0000 1
Tb2 Tb 0.0000 0.0000 0.3279 1
Tb3 Tb 0.0000 0.5000 0.1604 1
Tb4 Tb 0.0000 0.5000 0.5000 1
Sm1 Sm 0.5000 0.5000 0.3317 1
In1 In 0.5000 0.5000 0.0000 1
```